Material: EuLuBi2
Method: DFT, PBE-GGA
State: relaxed

abc: 4.512 4.512 22.668
angles: 90.00 90.00 120.00
Atoms (fractional coordinates):
Eu  0.000  0.000  0.000
Eu  0.333  0.667  0.667
Eu  0.667  0.333  0.333
Lu  0.000  0.000  0.500
Lu  0.333  0.667  0.167
Lu  0.667  0.333  0.833
Bi  0.000  0.000  0.244
Bi  0.000  0.000  0.756
Bi  0.333  0.667  0.423
Bi  0.333  0.667  0.910
Bi  0.667  0.333  0.090
Bi  0.667  0.333  0.577

Results
Distance to the lowest polymorph of the same formula: 0 meV/atom
Formation energy from the elements: -0.74 eV/atom

Material: SrInGeH
Method: DFT, PBE-GGA
State: relaxed

abc: 11.276 11.276 11.276
angles: 22.85 22.85 22.85
Atoms (fractional coordinates):
Sr  0.117  0.117  0.117
Sr  0.883  0.883  0.883
In  0.302  0.302  0.302
In  0.698  0.698  0.698
Ge  0.392  0.392  0.392
Ge  0.608  0.608  0.608
H  0.192  0.192  0.192
H  0.808  0.808  0.808

Material: Pa2CdIn9
Method: DFT, PBE-GGA
State: relaxed

abc: 4.615 4.615 14.280
angles: 90.00 90.00 90.00
Atoms (fractional coordinates):
Pa  0.000  0.000  0.162
Pa  0.000  0.000  0.838
Cd  0.000  0.000  0.500
In  0.000  0.500  0.000
In  0.000  0.500  0.331
In  0.000  0.500  0.669
In  0.500  0.000  0.000
In  0.500  0.000  0.331
In  0.500  0.000  0.669
In  0.500  0.500  0.162
In  0.500  0.500  0.500
In  0.500  0.500  0.838

Results
Formation energy from the elements: -0.03 eV/atom

Material: ReTcS2
Method: DFT, PBE-GGA
State: relaxed

abc: 5.264 5.264 10.392
angles: 90.00 90.00 90.00
Atoms (fractional coordinates):
Re  0.000  0.000  0.000
Re  0.000  0.500  0.250
Re  0.500  0.000  0.750
Re  0.500  0.500  0.500
Tc  0.000  0.000  0.500
Tc  0.000  0.500  0.750
Tc  0.500  0.000  0.250
Tc  0.500  0.500  0.000
S  0.247  0.250  0.125
S  0.250  0.747  0.375
S  0.250  0.753  0.875
S  0.253  0.250  0.625
S  0.747  0.750  0.625
S  0.750  0.247  0.875
S  0.750  0.253  0.375
S  0.753  0.750  0.125

Results
Distance to the lowest polymorph of the same formula: 43 meV/atom
Uncorrected formation energy: 0.097 eV per atom

Material: Pr2HoTm4Sc
Method: DFT, PBE-GGA
State: relaxed

abc: 5.007 5.007 9.874
angles: 90.00 90.00 90.00
Atoms (fractional coordinates):
Pr  0.000  0.000  0.000
Pr  0.500  0.500  0.500
Ho  0.000  0.000  0.500
Tm  0.000  0.500  0.246
Tm  0.000  0.500  0.754
Tm  0.500  0.000  0.246
Tm  0.500  0.000  0.754
Sc  0.500  0.500  0.000

Results
Formation energy from the elements: 0.04 eV/atom

Material: Li4InRh
Method: DFT, PBE-GGA
State: relaxed

abc: 5.452 4.421 8.126
angles: 90.00 108.99 90.00
Atoms (fractional coordinates):
Li  0.033  0.250  0.084
Li  0.183  0.250  0.416
Li  0.259  0.750  0.584
Li  0.446  0.750  0.916
Li  0.554  0.250  0.084
Li  0.741  0.250  0.416
Li  0.817  0.750  0.584
Li  0.967  0.750  0.916
In  0.380  0.750  0.258
In  0.620  0.250  0.742
Rh  0.125  0.250  0.753
Rh  0.875  0.750  0.247

Results
Distance to the lowest polymorph of the same formula: 0 meV/atom
Formation energy from the elements: -0.24 eV/atom

Material: MnReTe2
Method: DFT, PBE-GGA
State: relaxed

abc: 3.699 4.274 5.555
angles: 90.00 100.69 90.00
Atoms (fractional coordinates):
Mn  0.000  0.000  0.000
Re  0.500  0.000  0.500
Te  0.306  0.500  0.742
Te  0.694  0.500  0.258

Results
Distance to the lowest polymorph of the same formula: 750 meV/atom
Uncorrected formation energy: 0.834 eV per atom

Material: Nd2Sm3Y7
Method: DFT, PBE-GGA
State: relaxed

abc: 19.186 19.186 3.632
angles: 90.00 90.00 162.28
Atoms (fractional coordinates):
Nd  0.175  0.825  0.000
Nd  0.825  0.175  0.000
Sm  0.351  0.649  0.500
Sm  0.500  0.500  0.500
Sm  0.649  0.351  0.500
Y  0.000  0.000  0.000
Y  0.088  0.912  0.500
Y  0.271  0.729  0.000
Y  0.427  0.573  0.000
Y  0.573  0.427  0.000
Y  0.729  0.271  0.000
Y  0.912  0.088  0.500

Results
Distance to the lowest polymorph of the same formula: 77 meV/atom
Formation energy from the elements: 0.16 eV/atom

Material: YTm2TeO8
Method: DFT, PBE-GGA
State: relaxed

abc: 4.978 4.978 6.830
angles: 90.00 90.00 90.76
Atoms (fractional coordinates):
Y  0.000  0.000  0.000
Tm  0.500  0.500  0.253
Tm  0.500  0.500  0.747
Te  0.000  0.000  0.500
O  0.185  0.815  0.288
O  0.185  0.815  0.712
O  0.279  0.279  0.500
O  0.313  0.313  0.000
O  0.687  0.687  0.000
O  0.721  0.721  0.500
O  0.815  0.185  0.288
O  0.815  0.185  0.712

Results
Uncorrected formation energy: -2.546 eV per atom

Material: NdSmCo3
Method: DFT, PBE-GGA
State: relaxed

abc: 12.209 12.209 3.923
angles: 90.00 90.00 160.38
Atoms (fractional coordinates):
Nd  0.202  0.798  0.750
Nd  0.798  0.202  0.250
Sm  0.068  0.932  0.250
Sm  0.932  0.068  0.750
Co  0.337  0.663  0.750
Co  0.383  0.617  0.250
Co  0.477  0.523  0.250
Co  0.523  0.477  0.750
Co  0.617  0.383  0.750
Co  0.663  0.337  0.250

Results
Formation energy from the elements: -0.10 eV/atom

Material: MgTl3Hg8
Method: DFT, PBE-GGA
State: relaxed

abc: 10.517 10.517 6.777
angles: 90.00 90.00 120.00
Atoms (fractional coordinates):
Mg  0.333  0.667  0.000
Mg  0.667  0.333  0.500
Tl  0.157  0.315  0.750
Tl  0.157  0.843  0.750
Tl  0.315  0.157  0.250
Tl  0.685  0.843  0.750
Tl  0.843  0.157  0.250
Tl  0.843  0.685  0.250
Hg  0.000  0.000  0.005
Hg  0.000  0.000  0.505
Hg  0.010  0.505  0.989
Hg  0.195  0.389  0.252
Hg  0.195  0.805  0.252
Hg  0.333  0.667  0.556
Hg  0.389  0.195  0.752
Hg  0.495  0.505  0.989
Hg  0.495  0.990  0.989
Hg  0.505  0.010  0.489
Hg  0.505  0.495  0.489
Hg  0.611  0.805  0.252
Hg  0.667  0.333  0.056
Hg  0.805  0.195  0.752
Hg  0.805  0.611  0.752
Hg  0.990  0.495  0.489

Results
Formation energy from the elements: -0.04 eV/atom

Material: CuWS2Cl
Method: DFT, PBE-GGA
State: relaxed

abc: 4.626 4.626 4.331
angles: 90.00 90.00 90.00
Atoms (fractional coordinates):
Cu  0.000  0.000  0.000
W  0.500  0.500  0.500
S  0.000  0.500  0.000
S  0.500  0.000  0.000
Cl  0.000  0.000  0.500

Results
Distance to the lowest polymorph of the same formula: 712 meV/atom
Uncorrected formation energy: 1.023 eV per atom

| no. | M_tot (μB per formula unit) | E (eV/atom) | V (Å³ per cell) |
| --- | --- | --- | --- |
| 1 | 6.7 | -6.375 | 400 |
| 2 | 0.0 | -3.458 | 190 |
| 3 | 1.5 | -3.745 | 304 |
| 4 | 0.0 | -7.671 | 288 |
| 5 | 0.0 | -4.753 | 248 |
| 6 | 0.0 | -3.200 | 185 |
| 7 | 4.6 | -6.141 | 86 |
| 8 | 0.0 | -5.583 | 407 |
| 9 | 0.7 | -7.398 | 169 |
| 10 | 1.9 | -6.260 | 196 |
| 11 | 0.0 | -0.964 | 649 |
| 12 | 3.2 | -4.408 | 93 |